## Co2AsSe (PBE-GGA)

Data for a relaxed structure of Co2AsSe.

Calculated values
Total magnetization, μB per atom: 0.483
D(E_F), states/eV/cell: 4.91
Energy relative to the elements, uncorrected, eV per formula unit: 0.79
E_tot, eV per atom: -5.388

Lattice parameters (Å, degrees): 4.276 4.276 3.016 89.97 89.97 90.02
Last column: magnetic moment on the atom in μB.
Fractional coordinates of all 4 atoms:
Co 0.500 0.500 0.000  0.99
Co 0.000 0.000 0.000  0.99
Se 0.500 0.000 0.500  0.01
As 0.000 0.500 0.500  0.00